(1)
This record from Alexandria describes crystalline Tb2ErMgC at its relaxed geometry. The functional is GGA-PBE.

Output
**Crystal system**: tetragonal
**Formation energy from the elements**: -0.9 eV/f.u.
**Space group**: P4/mmm

Cell: 5.0345 5.0345 4.8686 Å, 90.00 90.00 90.00°
Last column: nearest neighbours and their distance in Å.
Atoms (fractional coordinates):
Tb  0.0000  0.5000  0.0000  2 C 2.52
Tb  0.5000  0.0000  0.0000  2 C 2.52
Er  0.0000  0.0000  0.5000  2 C 2.43
Mg  0.5000  0.5000  0.5000  8 Tb 3.50, 4 Er 3.56
C  0.0000  0.0000  0.0000  2 Er 2.43, 4 Tb 2.52



(2)
This record from Alexandria describes crystalline Er2ThMgC at its relaxed geometry. The functional is GGA-PBE.

Output
**Crystal system**: tetragonal
**Formation energy from the elements**: -0.9 eV/f.u.
**Space group**: P4/mmm

Cell: 4.9387 4.9387 5.0966 Å, 90.00 90.00 90.00°
Last column: nearest neighbours and their distance in Å.
Atoms (fractional coordinates):
Er  0.0000  0.5000  0.0000  2 C 2.47
Er  0.5000  0.0000  0.0000  2 C 2.47
Th  0.0000  0.0000  0.5000  2 C 2.55
Mg  0.5000  0.5000  0.5000  4 Th 3.49, 8 Er 3.55
C  0.0000  0.0000  0.0000  4 Er 2.47, 2 Th 2.55



(3)
This record from Alexandria describes crystalline ErTm2MgC at its relaxed geometry. The functional is GGA-PBE.

Output
**Crystal system**: tetragonal
**Formation energy from the elements**: -1.1 eV/f.u.
**Space group**: P4/mmm

Cell: 4.8884 4.8884 4.9376 Å, 90.00 90.00 90.00°
Last column: nearest neighbours and their distance in Å.
Atoms (fractional coordinates):
Er  0.0000  0.0000  0.0000  2 C 2.47
Tm  0.0000  0.5000  0.5000  2 C 2.44
Tm  0.5000  0.0000  0.5000  2 C 2.44
Mg  0.5000  0.5000  0.0000  4 Er 3.46, 8 Tm 3.47
C  0.0000  0.0000  0.5000  4 Tm 2.44, 2 Er 2.47



(4)
This record from Alexandria describes crystalline Er12Mn5C15 at its relaxed geometry. The functional is GGA-PBE.

Output
**Crystal system**: hexagonal
**Formation energy from the elements**: -12.0 eV/f.u.
**Space group**: P-62m

Cell: 10.3862 10.3862 4.9905 Å, 90.00 90.00 120.00°
Last column: nearest neighbours and their distance in Å.
Atoms (fractional coordinates):
Er  0.0000  0.4322  0.0000  8 C 2.51-2.73
Er  0.0000  0.7939  0.0000  4 C 2.49-2.50
Er  0.1861  0.7312  0.5000  5 C 2.35-2.52
Er  0.2061  0.2061  0.0000  4 C 2.49-2.50
Er  0.2688  0.4549  0.5000  5 C 2.35-2.52
Er  0.4322  0.0000  0.0000  8 C 2.51-2.73
Er  0.4549  0.2688  0.5000  5 C 2.35-2.52
Er  0.5451  0.8139  0.5000  5 C 2.35-2.52
Er  0.5678  0.5678  0.0000  8 C 2.51-2.73
Er  0.7312  0.1861  0.5000  5 C 2.35-2.52
Er  0.7939  0.0000  0.0000  4 C 2.49-2.50
Er  0.8139  0.5451  0.5000  5 C 2.35-2.52
Mn  0.0000  0.1536  0.5000  3 C 1.79-1.90
Mn  0.1536  0.0000  0.5000  3 C 1.79-1.90
Mn  0.3333  0.6667  0.0000  3 C 1.79
Mn  0.6667  0.3333  0.0000  3 C 1.79
Mn  0.8464  0.8464  0.5000  3 C 1.79-1.90
C  0.0000  0.3259  0.5000  1 C 1.36
C  0.0000  0.4566  0.5000  1 C 1.36
C  0.0000  0.7973  0.5000  2 Mn 1.90
C  0.1935  0.7187  0.0000  1 Mn 1.79
C  0.2027  0.2027  0.5000  2 Mn 1.90
C  0.2813  0.4748  0.0000  1 Mn 1.79
C  0.3259  0.0000  0.5000  1 C 1.36
C  0.4566  0.0000  0.5000  1 C 1.36
C  0.4748  0.2813  0.0000  1 Mn 1.79
C  0.5252  0.8065  0.0000  1 Mn 1.79
C  0.5434  0.5434  0.5000  1 C 1.36
C  0.6741  0.6741  0.5000  1 C 1.36
C  0.7187  0.1935  0.0000  1 Mn 1.79
C  0.7973  0.0000  0.5000  2 Mn 1.90
C  0.8065  0.5252  0.0000  1 Mn 1.79



(5)
This record from Alexandria describes crystalline ErMn2C at its relaxed geometry. The functional is GGA-PBE.

Output
**Crystal system**: trigonal
**Formation energy from the elements**: 0.7 eV/f.u.
**Space group**: R-3m

Cell: 5.4790 5.4790 5.4790 Å, 38.56 38.56 38.56°
Last column: nearest neighbours and their distance in Å.
Atoms (fractional coordinates):
Er  0.0000  0.0000  0.0000  8 Mn 2.81-3.08
Mn  0.1847  0.1847  0.1847  3 C 2.11, 3 Mn 2.16
Mn  0.8153  0.8153  0.8153  3 C 2.11, 3 Mn 2.16
C  0.5000  0.5000  0.5000  6 Mn 2.11



(6)
This record from Alexandria describes crystalline Er3MnC3 at its relaxed geometry. The functional is GGA-PBE.

Output
**Crystal system**: orthorhombic
**Formation energy from the elements**: -2.5 eV/f.u.
**Space group**: Cmcm

Cell: 6.6107 6.6107 5.0353 Å, 90.00 90.00 101.17°
Last column: nearest neighbours and their distance in Å.
Atoms (fractional coordinates):
Er  0.1080  0.8920  0.7500  5 C 2.38-2.54
Er  0.1687  0.4088  0.7500  5 C 2.42-2.70
Er  0.4088  0.1687  0.2500  5 C 2.42-2.70
Er  0.5912  0.8313  0.7500  5 C 2.42-2.70
Er  0.8313  0.5912  0.2500  5 C 2.42-2.70
Er  0.8920  0.1080  0.2500  5 C 2.38-2.54
Mn  0.3037  0.6963  0.2500  3 C 1.81-1.83
Mn  0.6963  0.3037  0.7500  3 C 1.81-1.83
C  0.1247  0.8753  0.2500  1 Mn 1.83
C  0.1756  0.4285  0.2500  1 Mn 1.81
C  0.4285  0.1756  0.7500  1 Mn 1.81
C  0.5715  0.8244  0.2500  1 Mn 1.81
C  0.8244  0.5715  0.7500  1 Mn 1.81
C  0.8753  0.1247  0.7500  1 Mn 1.83



(7)
This record from Alexandria describes crystalline Er2MnC at its relaxed geometry. The functional is GGA-PBE.

Output
**Crystal system**: trigonal
**Formation energy from the elements**: 1.0 eV/f.u.
**Space group**: R-3m

Cell: 8.9023 8.9023 8.9023 Å, 22.31 22.31 22.31°
Last column: nearest neighbours and their distance in Å.
Atoms (fractional coordinates):
Er  0.1155  0.1155  0.1155  3 C 2.39
Er  0.8845  0.8845  0.8845  3 C 2.39
Mn  0.0000  0.0000  0.0000  2 Er 3.01
C  0.5000  0.5000  0.5000  6 Er 2.39



(8)
This record from Alexandria describes crystalline Er5Mn2C6 at its relaxed geometry. The functional is GGA-PBE.

Output
**Crystal system**: orthorhombic
**Formation energy from the elements**: -0.8 eV/f.u.
**Space group**: Pbam

Cell: 9.5958 11.4137 3.3626 Å, 90.00 90.00 90.00°
Last column: nearest neighbours and their distance in Å.
Atoms (fractional coordinates):
Er  0.0000  0.0000  0.0000  6 C 2.66-2.72
Er  0.0872  0.2507  0.0000  6 C 2.42-2.50
Er  0.1664  0.5138  0.0000  4 C 2.50-2.56
Er  0.3336  0.0138  0.0000  4 C 2.50-2.56
Er  0.4128  0.7507  0.0000  6 C 2.42-2.50
Er  0.5000  0.5000  0.0000  6 C 2.66-2.72
Er  0.5872  0.2493  0.0000  6 C 2.42-2.50
Er  0.6664  0.9862  0.0000  4 C 2.50-2.56
Er  0.8336  0.4862  0.0000  4 C 2.50-2.56
Er  0.9128  0.7493  0.0000  6 C 2.42-2.50
Mn  0.1652  0.7236  0.5000  4 C 1.88-2.05
Mn  0.3348  0.2236  0.5000  4 C 1.88-2.05
Mn  0.6652  0.7764  0.5000  4 C 1.88-2.05
Mn  0.8348  0.2764  0.5000  4 C 1.88-2.05
C  0.0116  0.6217  0.5000  1 Mn 1.88
C  0.1643  0.8063  0.0000  2 Mn 1.93
C  0.1741  0.1057  0.5000  1 Mn 2.05
C  0.3259  0.6057  0.5000  1 Mn 2.05
C  0.3357  0.3063  0.0000  2 Mn 1.93
C  0.4884  0.1217  0.5000  1 Mn 1.88
C  0.5116  0.8783  0.5000  1 Mn 1.88
C  0.6643  0.6937  0.0000  2 Mn 1.93
C  0.6741  0.3943  0.5000  1 Mn 2.05
C  0.8259  0.8943  0.5000  1 Mn 2.05
C  0.8357  0.1937  0.0000  2 Mn 1.93
C  0.9884  0.3783  0.5000  1 Mn 1.88



no.,magnetic moment (μB/f.u.)
1,0.00
2,0.00
3,0.71
4,1.31
5,0.00
6,0.00
7,3.52
8,2.70